Compound: GaNiIr2
Source: the Alexandria database
Functional: PBE
Structure: optimized geometry

```
GaNiIr2
1.0
-0.285 -3.024 2.894
3.470 -1.481 1.835
0.734 1.240 4.409
Ga Ni Ir
1 1 2
Direct
0.692 0.692 0.925 Ga
0.486 0.486 0.542 Ni
0.266 0.266 0.203 Ir
0.057 0.057 0.829 Ir
```

DFT formation energy: 8 kJ per mole of atoms
Spin magnetization: 0.00 Bohr magnetons per cell
Total energy: -6.55 eV/atom